(1)
A relaxed Ac2YGe3Rh4 crystal. Source: Alexandria, functional PBE.

magnetic moment	0.000	μB/atom
theoretical density	9.312	g/cm³
energy of formation	-861	meV/atom
DOS at the Fermi energy	6.6	states/eV per cell
calculated total energy	-6.655	eV per atom
symmetry	No. 115

```
Ac2YGe3Rh4
1.0
4.290 0.000 0.000
0.000 4.290 0.000
0.000 0.000 11.358
Ac Y Ge Rh
2 1 3 4
direct
0.000 0.500 0.235
0.500 0.000 0.765
0.000 0.000 0.500
0.000 0.500 0.883
0.500 0.000 0.117
0.500 0.500 0.500
0.000 0.000 0.000
0.000 0.500 0.659
0.500 0.000 0.341
0.500 0.500 0.000
```

(2)
A relaxed MgTcHg2 crystal. Source: Alexandria, functional PBE.

magnetic moment	0.260	μB/atom
theoretical density	11.038	g/cm³
energy of formation	324	meV/atom
DOS at the Fermi energy	3.0	states/eV per cell
calculated total energy	-2.817	eV per atom
symmetry	No. 99

```
MgTcHg2
1.0
2.959 0.000 0.000
0.000 2.959 0.000
0.000 0.000 8.996
Mg Tc Hg
1 1 2
direct
0.000 0.000 0.000
0.500 0.500 0.214
0.000 0.000 0.446
0.500 0.500 0.740
```

(3)
A relaxed LiGePbO4 crystal. Source: Alexandria, functional PBE.

energy relative to the elements, uncorrected	-1.398	eV/atom
magnetic moment	0.000	μB/atom
theoretical density	6.455	g/cm³
DOS at the Fermi energy	3.0	states/eV per cell
calculated total energy	-5.694	eV per atom
symmetry	No. 74

```
LiGePbO4
1.0
-3.134 3.422 4.208
3.134 -3.422 4.208
3.134 3.422 -4.208
Li Ge Pb O
2 2 2 8
direct
0.500 0.000 0.000
0.500 0.500 0.500
0.133 0.383 0.750
0.867 0.617 0.250
0.000 0.000 0.000
0.500 0.000 0.500
0.200 0.726 0.473
0.247 0.274 0.973
0.261 0.275 0.514
0.261 0.748 0.986
0.739 0.252 0.014
0.739 0.725 0.486
0.753 0.726 0.027
0.800 0.274 0.527
```

(4)
A relaxed RbAlS2 crystal. Source: Alexandria, functional PBE.

energy relative to the elements, uncorrected	-0.991	eV/atom
magnetic moment	0.000	μB/atom
theoretical density	1.998	g/cm³
calculated total energy	-4.233	eV per atom
symmetry	No. 6

```
RbAlS2
1.0
5.019 0.000 0.000
0.000 3.752 0.000
-2.505 0.000 7.792
Rb Al S
1 1 2
direct
0.000 0.000 0.000
0.296 0.500 0.600
0.210 0.000 0.438
0.436 0.500 0.871
```